# 1
CsScPbCl6 | PBE-GGA | relaxed

Output
Formation energy (no corrections) = -1.813 eV per atom
Crystal system = trigonal
SG = P312 (149)
M_tot = 0.0 Bohr magnetons per cell
VASP energy = -38.3 eV per cell

Lattice parameters (Å, degrees): 7.205 7.205 7.504 90.00 90.00 120.00
Fractional coordinates of all 9 atoms:
Cs 0.000 0.000 0.000
Sc 0.667 0.333 0.500
Pb 0.333 0.667 0.500
Cl 0.395 0.041 0.697
Cl 0.395 0.354 0.303
Cl 0.646 0.041 0.303
Cl 0.646 0.605 0.697
Cl 0.959 0.354 0.697
Cl 0.959 0.605 0.303

---

# 2
Cs2ScPbCl6 | PBE-GGA | relaxed

Output
Formation energy (no corrections) = -1.756 eV per atom
Crystal system = triclinic
SG = P-1 (2)
M_tot = 1.0 Bohr magnetons per cell
VASP energy = -40.4 eV per cell

Lattice parameters (Å, degrees): 7.330 7.436 7.874 117.53 108.03 90.28
Fractional coordinates of all 10 atoms:
Cs 0.222 0.224 0.449
Cs 0.778 0.776 0.551
Sc 0.000 0.500 0.000
Pb 0.500 0.000 0.000
Cl 0.177 0.199 0.879
Cl 0.180 0.674 0.872
Cl 0.256 0.673 0.346
Cl 0.744 0.327 0.654
Cl 0.820 0.326 0.128
Cl 0.823 0.801 0.121

---

# 3
Cs3Pb2Se2Cl3 | PBE-GGA | relaxed

Output
Formation energy (no corrections) = -1.291 eV per atom
Crystal system = tetragonal
SG = I4/mmm (139)
M_tot = 0.0 Bohr magnetons per cell
VASP energy = -35.4 eV per cell

Lattice parameters (Å, degrees): 16.190 16.190 16.190 161.14 161.14 26.80
Fractional coordinates of all 10 atoms:
Cs 0.000 0.000 0.000
Cs 0.387 0.387 0.000
Cs 0.613 0.613 0.000
Pb 0.211 0.211 0.000
Pb 0.789 0.789 0.000
Se 0.250 0.750 0.500
Se 0.750 0.250 0.500
Cl 0.107 0.107 0.000
Cl 0.500 0.500 0.000
Cl 0.893 0.893 0.000

---

# 4
CsPbSeCl | PBE-GGA | relaxed

Output
Formation energy (no corrections) = -1.168 eV per atom
Crystal system = trigonal
SG = R3m (160)
M_tot = 0.0 Bohr magnetons per cell
VASP energy = -14.6 eV per cell

Lattice parameters (Å, degrees): 8.653 8.653 8.653 30.29 30.29 30.29
Fractional coordinates of all 4 atoms:
Cs 0.000 0.000 0.000
Pb 0.495 0.495 0.495
Se 0.770 0.770 0.770
Cl 0.244 0.244 0.244

---

# 5
CsPbSeCl2 | PBE-GGA | relaxed

Output
Formation energy (no corrections) = -1.054 eV per atom
Crystal system = tetragonal
SG = P4/mmm (123)
M_tot = 0.0 Bohr magnetons per cell
VASP energy = -17.0 eV per cell

Lattice parameters (Å, degrees): 5.716 5.716 5.431 90.00 90.00 90.00
Fractional coordinates of all 5 atoms:
Cs 0.000 0.000 0.000
Pb 0.500 0.500 0.500
Se 0.500 0.500 0.000
Cl 0.000 0.500 0.500
Cl 0.500 0.000 0.500

---

# 6
Cs2PbSeCl6 | PBE-GGA | relaxed

Output
Formation energy (no corrections) = -1.186 eV per atom
Crystal system = tetragonal
SG = I4/mmm (139)
M_tot = 0.0 Bohr magnetons per cell
VASP energy = -31.8 eV per cell

Lattice parameters (Å, degrees): 8.437 8.437 8.437 127.22 127.22 77.88
Fractional coordinates of all 10 atoms:
Cs 0.250 0.750 0.500
Cs 0.750 0.250 0.500
Pb 0.000 0.000 0.000
Se 0.500 0.500 0.000
Cl 0.214 0.214 0.000
Cl 0.269 0.269 0.538
Cl 0.269 0.731 0.000
Cl 0.731 0.269 0.000
Cl 0.731 0.731 0.462
Cl 0.786 0.786 0.000